# 1
{"formula": "Dy2ThPt2", "functional": "PBE", "state": "optimized geometry", "mass_density_kg_m3": 12704, "sg": "Cmcm", "lattice": [[1.9270, -13.7281, 0.0000], [1.9270, 13.7281, 0.0000], [0.0000, 0.0000, 4.6801]], "species": ["Dy", "Dy", "Dy", "Dy", "Th", "Th", "Pt", "Pt", "Pt", "Pt"], "frac_coords": [[0.0501, 0.9499, 0.7500], [0.2642, 0.7358, 0.2500], [0.7358, 0.2642, 0.7500], [0.9499, 0.0501, 0.2500], [0.3627, 0.6373, 0.7500], [0.6373, 0.3627, 0.2500], [0.1576, 0.8424, 0.7500], [0.4657, 0.5343, 0.7500], [0.5343, 0.4657, 0.2500], [0.8424, 0.1576, 0.2500]]}

# 2
{"formula": "DyTh3Pt4", "functional": "PBE", "state": "optimized geometry", "mass_density_kg_m3": 13286, "sg": "P2/c", "lattice": [[7.2271, 0.0000, 0.0000], [0.0000, 8.3968, 0.0000], [-2.4333, 0.0000, 6.7510]], "species": ["Dy", "Dy", "Th", "Th", "Th", "Th", "Th", "Th", "Pt", "Pt", "Pt", "Pt", "Pt", "Pt", "Pt", "Pt"], "frac_coords": [[0.0000, 0.1251, 0.2500], [0.0000, 0.8749, 0.7500], [0.0000, 0.3730, 0.7500], [0.0000, 0.6270, 0.2500], [0.5000, 0.1242, 0.7500], [0.5000, 0.3733, 0.2500], [0.5000, 0.6267, 0.7500], [0.5000, 0.8758, 0.2500], [0.2494, 0.1241, 0.9998], [0.2494, 0.8759, 0.4998], [0.2496, 0.3753, 0.4997], [0.2496, 0.6247, 0.9997], [0.7504, 0.3753, 0.0003], [0.7504, 0.6247, 0.5003], [0.7506, 0.1241, 0.5002], [0.7506, 0.8759, 0.0002]]}

# 3
{"formula": "DyTh5Pt6", "functional": "PBE", "state": "optimized geometry", "mass_density_kg_m3": 13382, "sg": "C2/m", "lattice": [[3.5956, -6.1729, 0.0000], [3.5956, 6.1729, 0.0000], [-2.3420, 0.0000, 6.9696]], "species": ["Dy", "Th", "Th", "Th", "Th", "Th", "Pt", "Pt", "Pt", "Pt", "Pt", "Pt"], "frac_coords": [[0.0000, 0.0000, 0.0000], [0.1680, 0.8320, 0.5000], [0.3332, 0.6668, 0.0000], [0.5000, 0.5000, 0.5000], [0.6668, 0.3332, 0.0000], [0.8320, 0.1680, 0.5000], [0.0841, 0.4161, 0.2504], [0.2490, 0.2490, 0.7495], [0.4161, 0.0841, 0.2504], [0.5839, 0.9159, 0.7496], [0.7510, 0.7510, 0.2505], [0.9159, 0.5839, 0.7496]]}

# 4
{"formula": "Dy2ThPt", "functional": "PBE", "state": "optimized geometry", "mass_density_kg_m3": 11052, "de_polymorph_ev_per_atom": 0.000, "sg": "Pnma", "lattice": [[7.0287, 0.0000, 0.0000], [0.0000, 9.8103, 0.0000], [0.0000, 0.0000, 6.5555]], "species": ["Dy", "Dy", "Dy", "Dy", "Dy", "Dy", "Dy", "Dy", "Th", "Th", "Th", "Th", "Pt", "Pt", "Pt", "Pt"], "frac_coords": [[0.1848, 0.0620, 0.1658], [0.1848, 0.4380, 0.1658], [0.3152, 0.5620, 0.6658], [0.3152, 0.9380, 0.6658], [0.6848, 0.0620, 0.3342], [0.6848, 0.4380, 0.3342], [0.8152, 0.5620, 0.8342], [0.8152, 0.9380, 0.8342], [0.0273, 0.2500, 0.6478], [0.4727, 0.7500, 0.1478], [0.5273, 0.2500, 0.8522], [0.9727, 0.7500, 0.3522], [0.1191, 0.7500, 0.9341], [0.3809, 0.2500, 0.4341], [0.6191, 0.7500, 0.5659], [0.8809, 0.2500, 0.0659]]}

Number 1: density of states at the Fermi level 0.650 states/eV per atom, VASP energy -6.74 eV/atom, magnetic moment 0.000 μB/f.u.. Number 2: density of states at the Fermi level 0.443 states/eV per atom, VASP energy -7.59 eV/atom, magnetic moment 0.000 μB/f.u.. Number 3: density of states at the Fermi level 0.549 states/eV per atom, VASP energy -7.70 eV/atom, magnetic moment 0.000 μB/f.u.. Number 4: density of states at the Fermi level 1.332 states/eV per atom, VASP energy -6.32 eV/atom, magnetic moment 0.000 μB/f.u..